# 1
A plane-wave DFT calculation with GGA-PBE was carried out for a relaxed ScMnCd2 crystal.

CIF file:
```
data_ScMnCd2
_cell_length_a 3.174
_cell_length_b 3.174
_cell_length_c 7.867
_cell_angle_alpha 90.00
_cell_angle_beta 90.00
_cell_angle_gamma 90.00
_space_group_name_H-M_alt 'P 1'
_space_group_IT_number 1
_space_group_name_Hall 'P 1'
loop_
_atom_site_label
_atom_site_type_symbol
_atom_site_fract_x
_atom_site_fract_y
_atom_site_fract_z
_atom_site_occupancy
Sc1 Sc 0.000 0.000 0.000 1
Mn1 Mn 0.500 0.500 0.779 1
Cd1 Cd 0.000 0.000 0.553 1
Cd2 Cd 0.500 0.500 0.284 1
```

E, eV/cell: -17.42
Formation energy from the elements, eV/atom: -0.0219

# 2
A plane-wave DFT calculation with GGA-PBE was carried out for a relaxed Sc4MnCd crystal.

CIF file:
```
data_Sc4MnCd
_cell_length_a 7.247
_cell_length_b 7.247
_cell_length_c 5.607
_cell_angle_alpha 100.00
_cell_angle_beta 100.00
_cell_angle_gamma 110.95
_space_group_name_H-M_alt 'P 1'
_space_group_IT_number 1
_space_group_name_Hall 'P 1'
loop_
_atom_site_label
_atom_site_type_symbol
_atom_site_fract_x
_atom_site_fract_y
_atom_site_fract_z
_atom_site_occupancy
Sc1 Sc 0.063 0.729 0.949 1
Sc2 Sc 0.193 0.358 0.620 1
Sc3 Sc 0.271 0.937 0.551 1
Sc4 Sc 0.358 0.193 0.120 1
Sc5 Sc 0.642 0.807 0.880 1
Sc6 Sc 0.729 0.063 0.449 1
Sc7 Sc 0.807 0.642 0.380 1
Sc8 Sc 0.937 0.271 0.051 1
Mn1 Mn 0.001 0.999 0.750 1
Mn2 Mn 0.999 0.001 0.250 1
Cd1 Cd 0.375 0.625 0.250 1
Cd2 Cd 0.625 0.375 0.750 1
```

E, eV/cell: -71.93
Relative energy among the computed polymorphs, meV per atom: 0
Formation energy from the elements, eV/atom: -0.0925

# 3
A plane-wave DFT calculation with GGA-PBE was carried out for a relaxed Sc4MnCd3 crystal.

CIF file:
```
data_Sc4MnCd3
_cell_length_a 3.289
_cell_length_b 3.289
_cell_length_c 15.478
_cell_angle_alpha 90.00
_cell_angle_beta 90.00
_cell_angle_gamma 90.00
_space_group_name_H-M_alt 'P 1'
_space_group_IT_number 1
_space_group_name_Hall 'P 1'
loop_
_atom_site_label
_atom_site_type_symbol
_atom_site_fract_x
_atom_site_fract_y
_atom_site_fract_z
_atom_site_occupancy
Sc1 Sc 0.000 0.000 0.103 1
Sc2 Sc 0.000 0.000 0.367 1
Sc3 Sc 0.000 0.000 0.633 1
Sc4 Sc 0.000 0.000 0.897 1
Mn1 Mn 0.500 0.500 0.000 1
Cd1 Cd 0.500 0.500 0.237 1
Cd2 Cd 0.500 0.500 0.500 1
Cd3 Cd 0.500 0.500 0.763 1
```

E, eV/cell: -38.88
Formation energy from the elements, eV/atom: -0.2048

# 4
A plane-wave DFT calculation with GGA-PBE was carried out for a relaxed ScMnCd2 crystal.

CIF file:
```
data_ScMnCd2
_cell_length_a 9.855
_cell_length_b 9.855
_cell_length_c 9.855
_cell_angle_alpha 18.20
_cell_angle_beta 18.20
_cell_angle_gamma 18.20
_space_group_name_H-M_alt 'P 1'
_space_group_IT_number 1
_space_group_name_Hall 'P 1'
loop_
_atom_site_label
_atom_site_type_symbol
_atom_site_fract_x
_atom_site_fract_y
_atom_site_fract_z
_atom_site_occupancy
Sc1 Sc 0.000 0.000 0.000 1
Mn1 Mn 0.740 0.740 0.740 1
Cd1 Cd 0.244 0.244 0.244 1
Cd2 Cd 0.486 0.486 0.486 1
```

E, eV/cell: -16.87
Formation energy from the elements, eV/atom: 0.1158

# 5
A plane-wave DFT calculation with GGA-PBE was carried out for a relaxed ScMnCd crystal.

CIF file:
```
data_ScMnCd
_cell_length_a 11.921
_cell_length_b 11.921
_cell_length_c 11.921
_cell_angle_alpha 16.91
_cell_angle_beta 16.91
_cell_angle_gamma 16.91
_space_group_name_H-M_alt 'P 1'
_space_group_IT_number 1
_space_group_name_Hall 'P 1'
loop_
_atom_site_label
_atom_site_type_symbol
_atom_site_fract_x
_atom_site_fract_y
_atom_site_fract_z
_atom_site_occupancy
Sc1 Sc 0.100 0.100 0.100 1
Sc2 Sc 0.900 0.900 0.900 1
Mn1 Mn 0.175 0.175 0.175 1
Mn2 Mn 0.825 0.825 0.825 1
Cd1 Cd 0.301 0.301 0.301 1
Cd2 Cd 0.699 0.699 0.699 1
```

E, eV/cell: -31.89
Relative energy among the computed polymorphs, meV per atom: 169
Formation energy from the elements, eV/atom: 0.1573

# 6
A plane-wave DFT calculation with GGA-PBE was carried out for a relaxed ScMn3Cd crystal.

CIF file:
```
data_ScMn3Cd
_cell_length_a 4.680
_cell_length_b 4.680
_cell_length_c 4.680
_cell_angle_alpha 90.00
_cell_angle_beta 90.00
_cell_angle_gamma 90.00
_space_group_name_H-M_alt 'P 1'
_space_group_IT_number 1
_space_group_name_Hall 'P 1'
loop_
_atom_site_label
_atom_site_type_symbol
_atom_site_fract_x
_atom_site_fract_y
_atom_site_fract_z
_atom_site_occupancy
Sc1 Sc 0.000 0.000 0.000 1
Mn1 Mn 0.000 0.000 0.500 1
Mn2 Mn 0.000 0.500 0.000 1
Mn3 Mn 0.500 0.000 0.000 1
Cd1 Cd 0.500 0.500 0.500 1
```

E, eV/cell: -28.67
Relative energy among the computed polymorphs, meV per atom: 88
Formation energy from the elements, eV/atom: 1.2180

# 7
A plane-wave DFT calculation with GGA-PBE was carried out for a relaxed ScMnCd crystal.

CIF file:
```
data_ScMnCd
_cell_length_a 4.667
_cell_length_b 4.667
_cell_length_c 4.667
_cell_angle_alpha 60.00
_cell_angle_beta 60.00
_cell_angle_gamma 60.00
_space_group_name_H-M_alt 'P 1'
_space_group_IT_number 1
_space_group_name_Hall 'P 1'
loop_
_atom_site_label
_atom_site_type_symbol
_atom_site_fract_x
_atom_site_fract_y
_atom_site_fract_z
_atom_site_occupancy
Sc1 Sc 0.000 0.000 0.000 1
Mn1 Mn 0.250 0.250 0.250 1
Cd1 Cd 0.750 0.750 0.750 1
```

E, eV/cell: -14.43
Relative energy among the computed polymorphs, meV per atom: 675
Formation energy from the elements, eV/atom: 0.6633

# 8
A plane-wave DFT calculation with GGA-PBE was carried out for a relaxed ScMn2Cd crystal.

CIF file:
```
data_ScMn2Cd
_cell_length_a 3.919
_cell_length_b 4.153
_cell_length_c 4.170
_cell_angle_alpha 90.00
_cell_angle_beta 90.00
_cell_angle_gamma 90.00
_space_group_name_H-M_alt 'P 1'
_space_group_IT_number 1
_space_group_name_Hall 'P 1'
loop_
_atom_site_label
_atom_site_type_symbol
_atom_site_fract_x
_atom_site_fract_y
_atom_site_fract_z
_atom_site_occupancy
Sc1 Sc 0.000 0.000 0.000 1
Mn1 Mn 0.500 0.000 0.500 1
Mn2 Mn 0.500 0.500 0.000 1
Cd1 Cd 0.000 0.500 0.500 1
```

E, eV/cell: -24.90
Formation energy from the elements, eV/atom: 0.1717

# 9
A plane-wave DFT calculation with GGA-PBE was carried out for a relaxed Sc4MnCd crystal.

CIF file:
```
data_Sc4MnCd
_cell_length_a 5.784
_cell_length_b 5.784
_cell_length_c 5.784
_cell_angle_alpha 60.00
_cell_angle_beta 60.00
_cell_angle_gamma 60.00
_space_group_name_H-M_alt 'P 1'
_space_group_IT_number 1
_space_group_name_Hall 'P 1'
loop_
_atom_site_label
_atom_site_type_symbol
_atom_site_fract_x
_atom_site_fract_y
_atom_site_fract_z
_atom_site_occupancy
Sc1 Sc 0.376 0.376 0.376 1
Sc2 Sc 0.376 0.376 0.873 1
Sc3 Sc 0.376 0.873 0.376 1
Sc4 Sc 0.873 0.376 0.376 1
Mn1 Mn 0.750 0.750 0.750 1
Cd1 Cd 0.000 0.000 0.000 1
```

E, eV/cell: -33.08
Relative energy among the computed polymorphs, meV per atom: 481
Formation energy from the elements, eV/atom: 0.3889

# 10
A plane-wave DFT calculation with GGA-PBE was carried out for a relaxed ScMnCd2 crystal.

CIF file:
```
data_ScMnCd2
_cell_length_a 9.626
_cell_length_b 9.626
_cell_length_c 9.626
_cell_angle_alpha 19.12
_cell_angle_beta 19.12
_cell_angle_gamma 19.12
_space_group_name_H-M_alt 'P 1'
_space_group_IT_number 1
_space_group_name_Hall 'P 1'
loop_
_atom_site_label
_atom_site_type_symbol
_atom_site_fract_x
_atom_site_fract_y
_atom_site_fract_z
_atom_site_occupancy
Sc1 Sc 0.000 0.000 0.000 1
Mn1 Mn 0.500 0.500 0.500 1
Cd1 Cd 0.245 0.245 0.245 1
Cd2 Cd 0.755 0.755 0.755 1
```

E, eV/cell: -16.73
Formation energy from the elements, eV/atom: 0.1497

# 11
A plane-wave DFT calculation with GGA-PBE was carried out for a relaxed ScMn3Cd crystal.

CIF file:
```
data_ScMn3Cd
_cell_length_a 4.927
_cell_length_b 4.927
_cell_length_c 4.927
_cell_angle_alpha 90.00
_cell_angle_beta 90.00
_cell_angle_gamma 90.00
_space_group_name_H-M_alt 'P 1'
_space_group_IT_number 1
_space_group_name_Hall 'P 1'
loop_
_atom_site_label
_atom_site_type_symbol
_atom_site_fract_x
_atom_site_fract_y
_atom_site_fract_z
_atom_site_occupancy
Sc1 Sc 0.000 0.000 0.000 1
Mn1 Mn 0.000 0.500 0.500 1
Mn2 Mn 0.500 0.000 0.500 1
Mn3 Mn 0.500 0.500 0.000 1
Cd1 Cd 0.500 0.500 0.500 1
```

E, eV/cell: -29.11
Relative energy among the computed polymorphs, meV per atom: 0
Formation energy from the elements, eV/atom: 1.1300

# 12
A plane-wave DFT calculation with GGA-PBE was carried out for a relaxed ScMn2Cd crystal.

CIF file:
```
data_ScMn2Cd
_cell_length_a 5.026
_cell_length_b 5.026
_cell_length_c 5.105
_cell_angle_alpha 101.68
_cell_angle_beta 101.68
_cell_angle_gamma 35.14
_space_group_name_H-M_alt 'P 1'
_space_group_IT_number 1
_space_group_name_Hall 'P 1'
loop_
_atom_site_label
_atom_site_type_symbol
_atom_site_fract_x
_atom_site_fract_y
_atom_site_fract_z
_atom_site_occupancy
Sc1 Sc 0.000 0.000 0.000 1
Mn1 Mn 0.248 0.248 0.764 1
Mn2 Mn 0.752 0.752 0.236 1
Cd1 Cd 0.500 0.500 0.500 1
```

E, eV/cell: -24.59
Formation energy from the elements, eV/atom: 0.2486